Entry 1:
An optimized crystal structure of EuHfSn2. Source: Alexandria via LeMat-Bulk, functional PBE-GGA.

Calculated values
Total magnetic moment in μB/cell: 7.877
Total energy in Ry per atom: -0.52044
D(E_F) in states/eV/f.u.: 3.76
ΔE_f in kJ/mol of atoms: -2.18

Unit cell a=3.3445 b=3.3445 c=11.5883 alpha=81.70 beta=81.70 gamma=60.00
With the nearest neighbours (Å) after each atom.
Element x y z (fractional)
Eu (0.0000, 0.0000, 0.0000)  2 Sn 3.25, 6 Eu 3.34
Sn (0.0949, 0.0949, 0.7154)  3 Hf 3.13, 1 Eu 3.25, 6 Sn 3.34
Sn (0.9051, 0.9051, 0.2846)  3 Hf 3.13, 1 Eu 3.25, 6 Sn 3.34
Hf (0.5000, 0.5000, 0.5000)  6 Sn 3.13, 6 Hf 3.34


Entry 2:
An optimized crystal structure of EuHfTe2. Source: Alexandria via LeMat-Bulk, functional PBE-GGA.

Calculated values
Total magnetic moment in μB/cell: 7.581
Total energy in Ry per atom: -0.53729
D(E_F) in states/eV/f.u.: 2.48
Raw formation energy in meV/atom: -682

Unit cell a=4.0102 b=4.0102 c=10.3162 alpha=78.79 beta=78.79 gamma=60.00
With the nearest neighbours (Å) after each atom.
Element x y z (fractional)
Te (0.8916, 0.8916, 0.3253)  3 Hf 2.91
Te (0.1084, 0.1084, 0.6747)  3 Hf 2.91
Eu (0.0000, 0.0000, 0.0000)  2 Te 3.27
Hf (0.5000, 0.5000, 0.5000)  6 Te 2.91


Entry 3:
An optimized crystal structure of EuHfTh2. Source: Alexandria via LeMat-Bulk, functional PBE-GGA.

Calculated values
Total magnetic moment in μB/cell: 7.612
Total energy in Ry per atom: -0.63209
D(E_F) in states/eV/f.u.: 5.88
ΔE_f in kJ/mol of atoms: 16.10

Unit cell a=3.4831 b=3.4831 c=10.2521 alpha=90.00 beta=90.00 gamma=90.00
With the nearest neighbours (Å) after each atom.
Element x y z (fractional)
Th (0.0000, 0.0000, 0.7790)  4 Hf 3.35, 4 Th 3.48
Th (0.0000, 0.0000, 0.2210)  4 Hf 3.35, 4 Th 3.48
Hf (0.5000, 0.5000, 0.0000)  8 Th 3.35, 4 Hf 3.48
Eu (0.5000, 0.5000, 0.5000)  4 Eu 3.48, 8 Th 3.77